VASP calculation (PBE) on crystalline NaCd2Pt at its relaxed geometry.

a b c (Å): 4.2934 7.9497 5.5706
angles (deg): 90.00 112.43 90.00
Closest atoms and distances in Å follow each position.
Space group P2_1/m (No. 11)
Symmetry-distinct sites (fractional):
Na  0.0632  0.2500  0.1248 x2  3 Pt 2.99-3.05, 4 Cd 3.33
Cd  0.3592  0.0541  0.7197 x4  3 Pt 2.77-2.80, 1 Cd 3.01
Pt  0.2271  0.7500  0.4555 x2  6 Cd 2.77-2.80, 3 Na 2.99-3.05

DFT total energy = -2.557 eV/atom